DFT (GGA-PBEsol) results for a relaxed structure of CoBr2Cl.

Output
ΔE_f (raw)   0.3011 eV/atom
VASP energy   -12.28 eV for the cell shown
Energy above the most stable polymorph in this dataset   0.433 eV per atom
Total moment   3.2 μB per formula unit

abc: 3.098 3.098 8.820
angles: 90.00 90.00 90.00
Last column: magnetic moment on the atom in μB.
Sites, in units of the cell vectors:
Co  0.500  0.500  0.500  2.26
Br  0.000  0.000  0.678  0.28
Br  0.000  0.000  0.322  0.28
Cl  0.500  0.500  0.000  0.18


DFT (GGA-PBEsol) results for a relaxed structure of Lu2S3.

Output
ΔE_f (raw)   -2.0843 eV/atom
VASP energy   -66.64 eV for the cell shown
Total moment   0.0 μB per formula unit

abc: 6.522 6.530 6.530
angles: 118.44 99.92 99.92
Sites, in units of the cell vectors:
S  0.497  0.142  0.318
S  0.503  0.858  0.682
S  0.500  0.500  0.000
S  0.003  0.682  0.858
S  0.997  0.318  0.142
S  0.000  0.000  0.500
Lu  0.750  0.913  0.087
Lu  0.250  0.087  0.913
Lu  0.250  0.741  0.259
Lu  0.750  0.259  0.741


DFT (GGA-PBEsol) results for a relaxed structure of YGeSb2Pt.

Output
ΔE_f (raw)   1.1331 eV/atom
VASP energy   -22.17 eV for the cell shown
Total moment   0.0 μB per formula unit

abc: 5.183 5.550 5.550
angles: 90.00 90.00 90.00
Sites, in units of the cell vectors:
Y  0.000  0.000  0.000
Sb  0.000  0.000  0.500
Sb  0.000  0.500  0.000
Ge  0.500  0.000  0.000
Pt  0.500  0.500  0.500


DFT (GGA-PBEsol) results for a relaxed structure of LiBiAu2.

Output
VASP energy   -15.00 eV for the cell shown
ΔH_f (0 K)   -0.22 eV per atom
Total moment   0.0 μB per formula unit

abc: 4.802 4.802 4.802
angles: 60.00 60.00 60.00
Sites, in units of the cell vectors:
Au  0.250  0.250  0.250
Au  0.750  0.750  0.750
Bi  0.500  0.500  0.500
Li  0.000  0.000  0.000


DFT (GGA-PBEsol) results for a relaxed structure of FeTcAg.

Output
VASP energy   -19.85 eV for the cell shown
Energy above the most stable polymorph in this dataset   0.722 eV per atom
ΔH_f (0 K)   1.23 eV per atom
Total moment   1.9 μB per formula unit

abc: 4.135 4.135 4.135
angles: 60.00 60.00 60.00
Last column: magnetic moment on the atom in μB.
Sites, in units of the cell vectors:
Ag  0.000  0.000  0.000  0.00
Fe  0.500  0.500  0.500  2.25
Tc  0.250  0.250  0.250  -0.43


DFT (GGA-PBEsol) results for a relaxed structure of NiH2O.

Output
VASP energy   -16.05 eV for the cell shown
Total moment   0.0 μB per formula unit

abc: 3.180 3.180 3.180
angles: 60.00 60.00 60.00
Sites, in units of the cell vectors:
Ni  0.500  0.500  0.500
O  0.000  0.000  0.000
H  0.250  0.250  0.250
H  0.750  0.750  0.750


DFT (GGA-PBEsol) results for a relaxed structure of BePt.

Output
VASP energy   -43.38 eV for the cell shown
ΔH_f (0 K)   0.06 eV per atom
Total moment   0.0 μB per formula unit

abc: 4.292 4.292 6.688
angles: 90.00 90.00 120.00
Sites, in units of the cell vectors:
Be  0.667  0.333  0.908
Be  0.333  0.667  0.408
Be  0.333  0.667  0.092
Be  0.667  0.333  0.592
Pt  0.000  0.000  0.750
Pt  0.000  0.000  0.250
Pt  0.667  0.333  0.250
Pt  0.333  0.667  0.750


DFT (GGA-PBEsol) results for a relaxed structure of Be4NiTe.

Output
ΔE_f (raw)   0.3070 eV/atom
VASP energy   -23.84 eV for the cell shown
Total moment   0.0 μB per formula unit

abc: 4.551 4.551 4.551
angles: 60.00 60.00 60.00
Sites, in units of the cell vectors:
Ni  0.750  0.750  0.750
Te  0.000  0.000  0.000
Be  0.378  0.378  0.378
Be  0.378  0.378  0.866
Be  0.866  0.378  0.378
Be  0.378  0.866  0.378


What is the total moment in the sixth record? 0.0 μB per formula unit


Among the records above, which one has the lowest VASP energy? Lu2S3


Which of these has the highest VASP energy? CoBr2Cl


What is the formula in the first record? CoBr2Cl